## PPtAu (PBE)

Data for a relaxed structure of PPtAu.

N(E_F)   4.13 states/eV per cell
Energy of formation from the pure elements   -0.138 eV/atom
Mass density   12.95 g/cm3
Polymorph energy (0 for the lowest one)   0 meV per atom

```
PPtAu
1.0
7.102 0.000 0.000
0.000 5.544 0.000
-1.983 0.000 5.511
P Pt Au
4 4 4
Direct
0.127 0.076 0.339
0.127 0.424 0.839
0.873 0.576 0.161
0.873 0.924 0.661
0.211 0.038 0.760
0.211 0.462 0.260
0.789 0.538 0.740
0.789 0.962 0.240
0.403 0.595 0.749
0.403 0.905 0.249
0.597 0.095 0.751
0.597 0.405 0.251
```